Entry 1:
The following is a DFT calculation (PBE) of Cs2ScI7 after structural relaxation.

POSCAR file:
```
Cs2ScI7
1.0
-2.6676 -3.9901 -7.3067
8.1017 0.5217 -3.2427
4.2056 -7.7636 -2.5256
Cs I Sc
2 7 1
direct
0.7500 0.2500 0.5000
0.2500 0.7500 0.5000
0.0000 0.0000 0.0000
0.2897 0.2897 0.4207
0.7103 0.7103 0.5793
0.2644 0.2644 0.0000
0.7356 0.7356 0.0000
0.7356 0.2644 0.0000
0.2644 0.7356 0.0000
0.5000 0.5000 0.0000
```

Output
DOS at the Fermi energy	6.31	states/eV/cell
formation energy (no corrections)	-984	meV per atom
E_tot	-2.8732	eV/atom



Entry 2:
The following is a DFT calculation (PBE) of Cs2ScI6 after structural relaxation.

POSCAR file:
```
Cs2ScI6
1.0
-1.2499 3.4997 -1.1007
-8.7865 -0.9454 6.9718
9.6157 4.5833 3.6534
Cs Sc I
2 1 6
direct
0.0000 0.3320 0.6676
0.0000 0.6645 0.3324
0.5000 0.0011 0.0000
0.5000 0.5622 0.0000
0.5000 0.4386 0.4406
0.5000 0.9980 0.5594
0.0000 0.1973 0.0000
0.0000 0.8052 0.8042
0.0000 0.0010 0.1958
```

Output
DOS at the Fermi energy	4.83	states/eV/cell
formation energy (no corrections)	-1088	meV per atom
E_tot	-3.0149	eV/atom



Entry 3:
The following is a DFT calculation (PBE) of CsSc2I7 after structural relaxation.

POSCAR file:
```
CsSc2I7
1.0
-4.4473 -2.8395 -2.3961
5.6680 -3.8566 -5.9499
-1.4618 -4.3292 7.8436
Cs Sc I
1 2 7
direct
0.0000 0.0000 0.0000
0.5000 0.6993 0.3007
0.5000 0.3007 0.6993
0.0000 0.6991 0.3009
0.0000 0.3009 0.6991
0.5000 0.0465 0.3320
0.5000 0.9535 0.6680
0.5000 0.3320 0.0465
0.5000 0.6680 0.9535
0.5000 0.5000 0.5000
```

Output
formation energy (no corrections)	-1174	meV per atom
E_tot	-3.6105	eV/atom



Entry 4:
The following is a DFT calculation (PBE) of Cs3Sc2I9 after structural relaxation.

POSCAR file:
```
Cs3Sc2I9
1.0
-7.6487 -6.0847 5.1208
6.0176 -2.9085 8.7793
-3.6623 7.7335 6.9662
Cs Sc I
6 4 18
direct
0.4136 0.7500 0.0864
0.2500 0.9136 0.5864
0.9136 0.5864 0.2500
0.0864 0.4136 0.7500
0.7500 0.0864 0.4136
0.5864 0.2500 0.9136
0.1588 0.1588 0.1588
0.6588 0.6588 0.6588
0.8412 0.8412 0.8412
0.3412 0.3412 0.3412
0.7371 0.9097 0.0731
0.0903 0.9269 0.2629
0.2500 0.4071 0.0929
0.5903 0.7629 0.4269
0.5929 0.9071 0.7500
0.9071 0.7500 0.5929
0.2371 0.5731 0.4097
0.5731 0.4097 0.2371
0.9269 0.2629 0.0903
0.0731 0.7371 0.9097
0.4269 0.5903 0.7629
0.4071 0.0929 0.2500
0.7629 0.4269 0.5903
0.0929 0.2500 0.4071
0.4097 0.2371 0.5731
0.7500 0.5929 0.9071
0.9097 0.0731 0.7371
0.2629 0.0903 0.9269
```

Output
DOS at the Fermi energy	0.00	states/eV/cell
formation energy (no corrections)	-1403	meV per atom
E_tot	-3.4869	eV/atom



Entry 5:
The following is a DFT calculation (PBE) of Cs2Sc2I7 after structural relaxation.

POSCAR file:
```
Cs2Sc2I7
1.0
-3.5080 -2.5879 3.7923
3.9217 -10.1775 -3.3152
5.4070 5.2240 8.5689
Cs Sc I
2 2 7
direct
0.5000 0.6676 0.3324
0.5000 0.3324 0.6676
0.0008 0.2355 0.2355
0.9992 0.7645 0.7645
0.0007 0.4273 0.1414
0.9993 0.8586 0.5727
0.9993 0.5727 0.8586
0.0007 0.1414 0.4273
0.4992 0.7003 0.7003
0.0000 0.0000 0.0000
0.5008 0.2997 0.2997
```

Output
DOS at the Fermi energy	1.40	states/eV/cell
offset from the most stable computed form	2.81	kJ per mole of atoms
formation energy (no corrections)	-1216	meV per atom
E_tot	-3.5085	eV/atom



Entry 6:
The following is a DFT calculation (PBE) of Cs2Sc3I10 after structural relaxation.

POSCAR file:
```
Cs2Sc3I10
1.0
-2.3760 -1.9682 7.8312
9.9110 -5.8909 1.5265
2.5953 14.3341 -0.1334
Cs Sc I
4 6 20
direct
0.7349 0.3191 0.4698
0.2651 0.6809 0.5302
0.6224 0.7424 0.2448
0.3776 0.2576 0.7552
0.9223 0.5168 0.8447
0.0777 0.4832 0.1553
0.8191 0.9672 0.6381
0.1809 0.0328 0.3619
0.7610 0.0000 0.0000
0.2390 0.0000 0.0000
0.6375 0.9534 0.7766
0.1392 0.9534 0.7766
0.3625 0.0466 0.2234
0.8608 0.0466 0.2234
0.6129 0.5411 0.7222
0.1093 0.5411 0.7222
0.3871 0.4589 0.2778
0.8907 0.4589 0.2778
0.9832 0.8040 0.9663
0.0168 0.1960 0.0337
0.8714 0.2455 0.7428
0.1286 0.7545 0.2572
0.7642 0.7120 0.5283
0.2358 0.2880 0.4717
0.4849 0.8215 0.9699
0.5151 0.1785 0.0301
0.7691 0.5000 0.0000
0.2309 0.5000 0.0000
0.5000 0.0000 0.5000
0.0000 0.0000 0.5000
```

Output
DOS at the Fermi energy	7.50	states/eV/cell
formation energy (no corrections)	-1274	meV per atom
E_tot	-3.6875	eV/atom



Entry 7:
The following is a DFT calculation (PBE) of Cs2ScSiI6 after structural relaxation.

POSCAR file:
```
Cs2ScSiI6
1.0
8.2723 0.0000 0.0000
0.0000 8.2723 0.0000
4.1362 4.1362 6.5523
Cs I Si Sc
2 6 1 1
direct
0.7500 0.2500 0.5000
0.2500 0.7500 0.5000
0.2209 0.2209 0.5581
0.7791 0.7791 0.4419
0.2502 0.2502 0.0000
0.7498 0.7498 0.0000
0.7498 0.2502 0.0000
0.2502 0.7498 0.0000
0.5000 0.5000 0.0000
0.0000 0.0000 0.0000
```

Output
DOS at the Fermi energy	0.01	states/eV/cell
formation energy (no corrections)	-941	meV per atom
E_tot	-3.2171	eV/atom



Entry 8:
The following is a DFT calculation (PBE) of CsTbScI6 after structural relaxation.

POSCAR file:
```
CsTbScI6
1.0
7.5530 0.0887 0.0864
3.8535 6.6799 0.1797
0.0965 0.1760 9.0906
Cs Tb Sc I
1 1 1 6
direct
0.0004 0.0000 0.9999
0.3014 0.3490 0.5001
0.6967 0.6517 0.4998
0.9889 0.3826 0.2816
0.3632 0.9810 0.6854
0.6496 0.3492 0.6813
0.9896 0.6283 0.7181
0.3615 0.6565 0.3154
0.6484 0.0016 0.3182
```

Output
DOS at the Fermi energy	0.46	states/eV/cell
formation energy (no corrections)	-1322	meV per atom
E_tot	-3.6686	eV/atom